No. 1
Entry from Alexandria: an optimized crystal structure of Sc2H3Pb (GGA-PBE).

Structure (POSCAR):
```
Sc2H3Pb
1.0
-3.376 -0.263 -0.663
2.797 -5.623 -3.037
-1.299 -1.145 7.071
H Sc Pb
6 4 2
Cartesian
-1.868 -2.846 1.662
-1.497 -5.840 0.957
-0.010 -4.185 1.709
-2.278 -1.884 3.370
0.400 -5.148 0.001
-0.381 -1.192 2.414
0.112 -6.249 1.905
-1.990 -0.783 1.466
-1.463 -4.108 0.100
-0.415 -2.924 3.271
-2.147 -5.357 4.078
0.269 -1.674 -0.707
```

Results
- DFT total energy: -4.943 eV/atom
- Symmetry: C2/m

=====

No. 2
Entry from Alexandria: an optimized crystal structure of SrCa2Zn2Pb2 (GGA-PBE).

Structure (POSCAR):
```
SrCa2Zn2Pb2
1.0
-3.452 -1.094 -3.439
1.218 -2.787 -3.961
-3.020 -9.034 2.279
Zn Pb Ca Sr
2 2 2 1
Cartesian
-2.271 -5.245 -3.304
-2.984 -7.670 -1.818
-1.261 -3.051 -1.390
-3.993 -9.864 -3.732
-2.090 -5.868 0.338
-3.165 -7.046 -5.460
0.000 0.000 0.000
```

Results
- DFT total energy: -2.580 eV/atom
- Symmetry: R-3m

=====

No. 3
Entry from Alexandria: an optimized crystal structure of NbFeIr2Pt (GGA-PBE).

Structure (POSCAR):
```
NbFeIr2Pt
1.0
4.363 0.000 0.000
0.000 4.627 0.000
0.000 0.000 4.363
Pt Fe Nb Ir
1 1 1 2
Cartesian
0.000 2.314 0.000
0.000 0.000 0.000
2.182 2.314 2.182
0.000 0.000 2.182
2.182 0.000 0.000
```

Results
- DFT total energy: -7.364 eV/atom
- Symmetry: P4/mmm

=====

No. 4
Entry from Alexandria: an optimized crystal structure of LiSmTiOs (GGA-PBE).

Structure (POSCAR):
```
LiSmTiOs
1.0
4.703 0.000 0.000
2.351 4.073 0.000
2.351 1.358 3.840
Os Li Ti Sm
1 1 1 1
Cartesian
0.000 0.000 0.000
4.703 2.715 1.920
7.054 4.073 2.880
2.351 1.358 0.960
```

Results
- DFT total energy: -6.484 eV/atom
- Symmetry: F-43m